(1)
# LiEuTm PBE relaxed
data_LiEuTm
_chemical_formula_sum 'Li1 Eu1 Tm1'
_symmetry_space_group_name_H-M 'P 1'
_symmetry_Int_Tables_number 1
_cell_length_a 3.753
_cell_length_b 3.753
_cell_length_c 6.940
_cell_angle_alpha 105.69
_cell_angle_beta 105.69
_cell_angle_gamma 90.00
loop_
_symmetry_equiv_pos_as_xyz
'x,y,z'
loop_
_atom_site_label
_atom_site_fract_x
_atom_site_fract_y
_atom_site_fract_z
Eu1 0.321 0.321 0.641
Tm1 0.021 0.021 0.041
Li1 0.659 0.659 0.317
# E_form = 0.1382 eV per atom
# Spin magnetization = 7.75 μB per formula unit
# Fermi-level density of states = 3.3 states/eV per cell
# Symmetry = I4mm, No. 107

=====

(2)
# LiEu2Tm PBE relaxed
data_LiEu2Tm
_chemical_formula_sum 'Li1 Eu2 Tm1'
_symmetry_space_group_name_H-M 'P 1'
_symmetry_Int_Tables_number 1
_cell_length_a 3.537
_cell_length_b 3.537
_cell_length_c 12.531
_cell_angle_alpha 81.89
_cell_angle_beta 81.89
_cell_angle_gamma 60.00
loop_
_symmetry_equiv_pos_as_xyz
'x,y,z'
loop_
_atom_site_label
_atom_site_fract_x
_atom_site_fract_y
_atom_site_fract_z
Tm1 0.000 0.000 0.000
Li1 0.500 0.500 0.500
Eu1 0.910 0.910 0.269
Eu2 0.090 0.090 0.731
# E_form = 0.2782 eV per atom
# Spin magnetization = 14.94 μB per formula unit
# Fermi-level density of states = 5.0 states/eV per cell
# Symmetry = R-3m, No. 166

=====

(3)
# LiEu2Tm PBE relaxed
data_LiEu2Tm
_chemical_formula_sum 'Li1 Eu2 Tm1'
_symmetry_space_group_name_H-M 'P 1'
_symmetry_Int_Tables_number 1
_cell_length_a 5.784
_cell_length_b 5.784
_cell_length_c 5.784
_cell_angle_alpha 60.00
_cell_angle_beta 60.00
_cell_angle_gamma 60.00
loop_
_symmetry_equiv_pos_as_xyz
'x,y,z'
loop_
_atom_site_label
_atom_site_fract_x
_atom_site_fract_y
_atom_site_fract_z
Eu1 0.250 0.250 0.250
Eu2 0.750 0.750 0.750
Li1 0.500 0.500 0.500
Tm1 0.000 0.000 0.000
# E_form = 0.1988 eV per atom
# Spin magnetization = 15.12 μB per formula unit
# Fermi-level density of states = 10.4 states/eV per cell
# Symmetry = Fm-3m, No. 225

=====

(4)
# LiEu2Tm PBE relaxed
data_LiEu2Tm
_chemical_formula_sum 'Li1 Eu2 Tm1'
_symmetry_space_group_name_H-M 'P 1'
_symmetry_Int_Tables_number 1
_cell_length_a 3.780
_cell_length_b 3.780
_cell_length_c 9.433
_cell_angle_alpha 90.00
_cell_angle_beta 90.00
_cell_angle_gamma 90.00
loop_
_symmetry_equiv_pos_as_xyz
'x,y,z'
loop_
_atom_site_label
_atom_site_fract_x
_atom_site_fract_y
_atom_site_fract_z
Tm1 0.500 0.500 0.500
Eu1 0.000 0.000 0.769
Eu2 0.000 0.000 0.231
Li1 0.500 0.500 0.000
# E_form = 0.1092 eV per atom
# Spin magnetization = 15.64 μB per formula unit
# Fermi-level density of states = 3.6 states/eV per cell
# Symmetry = P4/mmm, No. 123

=====

(5)
# Li4EuTm PBE relaxed
data_Li4EuTm
_chemical_formula_sum 'Li4 Eu1 Tm1'
_symmetry_space_group_name_H-M 'P 1'
_symmetry_Int_Tables_number 1
_cell_length_a 5.984
_cell_length_b 5.984
_cell_length_c 5.984
_cell_angle_alpha 60.00
_cell_angle_beta 60.00
_cell_angle_gamma 60.00
loop_
_symmetry_equiv_pos_as_xyz
'x,y,z'
loop_
_atom_site_label
_atom_site_fract_x
_atom_site_fract_y
_atom_site_fract_z
Li1 0.128 0.624 0.624
Li2 0.624 0.624 0.624
Li3 0.624 0.128 0.624
Li4 0.624 0.624 0.128
Tm1 0.250 0.250 0.250
Eu1 0.000 0.000 0.000
# E_form = 0.1080 eV per atom
# Spin magnetization = 7.82 μB per formula unit
# Fermi-level density of states = 6.1 states/eV per cell
# Symmetry = F-43m, No. 216

=====

(6)
# LiEuYTm PBE relaxed
data_LiEuYTm
_chemical_formula_sum 'Li1 Eu1 Y1 Tm1'
_symmetry_space_group_name_H-M 'P 1'
_symmetry_Int_Tables_number 1
_cell_length_a 5.599
_cell_length_b 5.599
_cell_length_c 5.599
_cell_angle_alpha 60.00
_cell_angle_beta 60.00
_cell_angle_gamma 60.00
loop_
_symmetry_equiv_pos_as_xyz
'x,y,z'
loop_
_atom_site_label
_atom_site_fract_x
_atom_site_fract_y
_atom_site_fract_z
Eu1 0.250 0.250 0.250
Li1 0.000 0.000 0.000
Tm1 0.500 0.500 0.500
Y1 0.750 0.750 0.750
# E_form = 0.2041 eV per atom
# Spin magnetization = 7.16 μB per formula unit
# Fermi-level density of states = 4.3 states/eV per cell
# Symmetry = F-43m, No. 216

=====

(7)
# LiEuTmZn PBE relaxed
data_LiEuTmZn
_chemical_formula_sum 'Li1 Eu1 Tm1 Zn1'
_symmetry_space_group_name_H-M 'P 1'
_symmetry_Int_Tables_number 1
_cell_length_a 5.217
_cell_length_b 5.217
_cell_length_c 5.217
_cell_angle_alpha 60.00
_cell_angle_beta 60.00
_cell_angle_gamma 60.00
loop_
_symmetry_equiv_pos_as_xyz
'x,y,z'
loop_
_atom_site_label
_atom_site_fract_x
_atom_site_fract_y
_atom_site_fract_z
Zn1 0.250 0.250 0.250
Tm1 0.500 0.500 0.500
Li1 0.750 0.750 0.750
Eu1 0.000 0.000 0.000
# E_form = -0.0588 eV per atom
# Spin magnetization = 7.33 μB per formula unit
# Fermi-level density of states = 3.2 states/eV per cell
# Symmetry = F-43m, No. 216

=====

(8)
# Li3EuZn PBE relaxed
data_Li3EuZn
_chemical_formula_sum 'Li3 Eu1 Zn1'
_symmetry_space_group_name_H-M 'P 1'
_symmetry_Int_Tables_number 1
_cell_length_a 5.001
_cell_length_b 5.001
_cell_length_c 5.001
_cell_angle_alpha 90.00
_cell_angle_beta 90.00
_cell_angle_gamma 90.00
loop_
_symmetry_equiv_pos_as_xyz
'x,y,z'
loop_
_atom_site_label
_atom_site_fract_x
_atom_site_fract_y
_atom_site_fract_z
Li1 0.000 0.500 0.000
Li2 0.000 0.000 0.500
Li3 0.500 0.000 0.000
Zn1 0.000 0.000 0.000
Eu1 0.500 0.500 0.500
# E_form = 0.0542 eV per atom
# Spin magnetization = 7.44 μB per formula unit
# Fermi-level density of states = 12.7 states/eV per cell
# Symmetry = Pm-3m, No. 221

=====

(9)
# LiEuZn2 PBE relaxed
data_LiEuZn2
_chemical_formula_sum 'Li1 Eu1 Zn2'
_symmetry_space_group_name_H-M 'P 1'
_symmetry_Int_Tables_number 1
_cell_length_a 3.364
_cell_length_b 5.180
_cell_length_c 5.180
_cell_angle_alpha 90.00
_cell_angle_beta 90.00
_cell_angle_gamma 90.00
loop_
_symmetry_equiv_pos_as_xyz
'x,y,z'
loop_
_atom_site_label
_atom_site_fract_x
_atom_site_fract_y
_atom_site_fract_z
Eu1 0.500 0.500 0.500
Zn1 0.000 0.000 0.500
Zn2 0.000 0.500 0.000
Li1 0.500 0.000 0.000
# E_form = -0.0648 eV per atom
# Spin magnetization = 7.52 μB per formula unit
# Fermi-level density of states = 4.3 states/eV per cell
# Symmetry = P4/mmm, No. 123

=====

(10)
# LiEuZn2 PBE relaxed
data_LiEuZn2
_chemical_formula_sum 'Li1 Eu1 Zn2'
_symmetry_space_group_name_H-M 'P 1'
_symmetry_Int_Tables_number 1
_cell_length_a 3.438
_cell_length_b 3.438
_cell_length_c 7.080
_cell_angle_alpha 90.00
_cell_angle_beta 90.00
_cell_angle_gamma 90.00
loop_
_symmetry_equiv_pos_as_xyz
'x,y,z'
loop_
_atom_site_label
_atom_site_fract_x
_atom_site_fract_y
_atom_site_fract_z
Li1 0.500 0.500 0.000
Eu1 0.500 0.500 0.500
Zn1 0.000 0.000 0.807
Zn2 0.000 0.000 0.193
# E_form = -0.1590 eV per atom
# Spin magnetization = 7.30 μB per formula unit
# Fermi-level density of states = 2.3 states/eV per cell
# Symmetry = P4/mmm, No. 123

=====

(11)
# LiEuZn2 PBE relaxed
data_LiEuZn2
_chemical_formula_sum 'Li1 Eu1 Zn2'
_symmetry_space_group_name_H-M 'P 1'
_symmetry_Int_Tables_number 1
_cell_length_a 4.494
_cell_length_b 4.494
_cell_length_c 5.779
_cell_angle_alpha 67.12
_cell_angle_beta 67.12
_cell_angle_gamma 60.00
loop_
_symmetry_equiv_pos_as_xyz
'x,y,z'
loop_
_atom_site_label
_atom_site_fract_x
_atom_site_fract_y
_atom_site_fract_z
Zn1 0.800 0.800 0.599
Zn2 0.200 0.200 0.401
Li1 0.500 0.500 0.500
Eu1 0.000 0.000 0.000
# E_form = -0.1878 eV per atom
# Spin magnetization = 7.29 μB per formula unit
# Fermi-level density of states = 8.8 states/eV per cell
# Symmetry = R-3m, No. 166

=====

(12)
# LiEuZn2 PBE relaxed
data_LiEuZn2
_chemical_formula_sum 'Li1 Eu1 Zn2'
_symmetry_space_group_name_H-M 'P 1'
_symmetry_Int_Tables_number 1
_cell_length_a 4.981
_cell_length_b 4.981
_cell_length_c 4.981
_cell_angle_alpha 60.00
_cell_angle_beta 60.00
_cell_angle_gamma 60.00
loop_
_symmetry_equiv_pos_as_xyz
'x,y,z'
loop_
_atom_site_label
_atom_site_fract_x
_atom_site_fract_y
_atom_site_fract_z
Zn1 0.250 0.250 0.250
Zn2 0.750 0.750 0.750
Li1 0.500 0.500 0.500
Eu1 0.000 0.000 0.000
# E_form = -0.1410 eV per atom
# Spin magnetization = 7.65 μB per formula unit
# Fermi-level density of states = 4.4 states/eV per cell
# Symmetry = Fm-3m, No. 225